[1]
Pm6Co2IBr3: optimized geometry, GGA-PBE.

Lattice parameters (Å, degrees): 9.7501 9.7501 9.3443 103.73 103.73 23.82
Atoms (fractional coordinates):
Pm  0.0310  0.0310  0.2817
Pm  0.3202  0.3202  0.4488
Pm  0.3222  0.3222  0.8455
Pm  0.6778  0.6778  0.1545
Pm  0.6798  0.6798  0.5512
Pm  0.9690  0.9690  0.7183
Co  0.1706  0.1706  0.3422
Co  0.8294  0.8294  0.6578
I  0.5000  0.5000  0.0000
Br  0.1561  0.1561  0.8396
Br  0.5000  0.5000  0.5000
Br  0.8439  0.8439  0.1604

Summary:
Its density of states at the Fermi level is 0.9904 states/eV/atom. The total energy comes out at -4.904 eV per atom. The calculation puts the magnetization at 0.000 μB per atom.

[2]
Pr4CoI2Br: optimized geometry, GGA-PBE.

Lattice parameters (Å, degrees): 7.8509 4.1293 8.2402 90.00 106.37 90.00
Atoms (fractional coordinates):
Pr  0.1929  0.0000  0.1879
Pr  0.2284  0.5000  0.7987
Pr  0.7716  0.5000  0.2013
Pr  0.8071  0.0000  0.8121
Co  0.0000  0.5000  0.0000
I  0.0000  0.0000  0.5000
I  0.5000  0.5000  0.5000
Br  0.5000  0.0000  0.0000

Summary:
Its density of states at the Fermi level is 0.5984 states/eV/atom. The total energy comes out at -4.676 eV per atom. The calculation puts the magnetization at 0.000 μB per atom.

[3]
CoPtI6Br: optimized geometry, GGA-PBE.

Lattice parameters (Å, degrees): 6.8487 6.8487 8.1337 90.00 90.00 120.00
Atoms (fractional coordinates):
Co  0.0000  0.0000  0.0000
Pt  0.6667  0.3333  0.0000
I  0.3212  0.0186  0.8164
I  0.3212  0.3026  0.1836
I  0.6974  0.0186  0.1836
I  0.6974  0.6788  0.8164
I  0.9814  0.3026  0.8164
I  0.9814  0.6788  0.1836
Br  0.3333  0.6667  0.5000

Summary:
The total energy comes out at -2.780 eV per atom. The calculation puts the magnetization at 0.000 μB per atom.

[4]
Rb2CoI6Br: optimized geometry, GGA-PBE.

Lattice parameters (Å, degrees): 8.4254 8.4254 8.4254 121.82 121.82 86.88
Atoms (fractional coordinates):
Rb  0.2500  0.7500  0.5000
Rb  0.7500  0.2500  0.5000
Co  0.0000  0.0000  0.0000
I  0.2096  0.2096  0.0000
I  0.2333  0.2333  0.4666
I  0.2333  0.7667  0.0000
I  0.7667  0.2333  0.0000
I  0.7667  0.7667  0.5334
I  0.7904  0.7904  0.0000
Br  0.5000  0.5000  0.0000

Summary:
Its density of states at the Fermi level is 2.5047 states/eV/atom. The total energy comes out at -2.533 eV per atom. The calculation puts the magnetization at 0.096 μB per atom.